# 1
Material: Zr2GaMo
Method: DFT, PBE
State: relaxed

The calculation puts the density of states at the Fermi level at 0.93 states/eV/atom. The value obtained for the energy of formation from the pure elements is -0.3055 eV per atom. As for the energy: -8.04 eV/atom. The calculation puts the magnetization at 0.0 μB per formula unit. The value obtained for the density is 7.7 Mg/m³. Its space group is P4/mmm (123).

Cell and atoms, written as CIF:
```
data_Zr2GaMo
_cell_length_a 4.5976
_cell_length_b 4.5976
_cell_length_c 3.5633
_cell_angle_alpha 90.00
_cell_angle_beta 90.00
_cell_angle_gamma 90.00
_space_group_name_H-M_alt 'P 1'
_space_group_IT_number 1
loop_
_space_group_symop_operation_xyz
'x,y,z'
loop_
_atom_site_label
_atom_site_type_symbol
_atom_site_fract_x
_atom_site_fract_y
_atom_site_fract_z
_atom_site_occupancy
Zr1 Zr 0.0000 0.5000 0.0000 1
Zr2 Zr 0.5000 0.0000 0.0000 1
Ga1 Ga 0.0000 0.0000 0.5000 1
Mo1 Mo 0.5000 0.5000 0.5000 1
```



# 2
Material: Zr2GaMo
Method: DFT, PBE
State: relaxed

The calculation puts the density of states at the Fermi level at 0.74 states/eV/atom. The value obtained for the energy of formation from the pure elements is -0.3384 eV per atom. As for the energy: -8.08 eV/atom. The calculation puts the magnetization at 0.0 μB per formula unit. The value obtained for the density is 7.6 Mg/m³. Its space group is P4/mmm (123).

Cell and atoms, written as CIF:
```
data_Zr2GaMo
_cell_length_a 3.4492
_cell_length_b 3.4492
_cell_length_c 6.3862
_cell_angle_alpha 90.00
_cell_angle_beta 90.00
_cell_angle_gamma 90.00
_space_group_name_H-M_alt 'P 1'
_space_group_IT_number 1
loop_
_space_group_symop_operation_xyz
'x,y,z'
loop_
_atom_site_label
_atom_site_type_symbol
_atom_site_fract_x
_atom_site_fract_y
_atom_site_fract_z
_atom_site_occupancy
Zr1 Zr 0.0000 0.0000 0.2429 1
Zr2 Zr 0.0000 0.0000 0.7571 1
Ga1 Ga 0.5000 0.5000 0.5000 1
Mo1 Mo 0.5000 0.5000 0.0000 1
```



# 3
Material: Zr6Ga10Mo
Method: DFT, PBE
State: relaxed

The calculation puts the density of states at the Fermi level at 0.55 states/eV/atom. The value obtained for the energy of formation from the pure elements is -0.3705 eV per atom. As for the energy: -5.81 eV/atom. The calculation puts the magnetization at 0.0 μB per formula unit. The value obtained for the density is 7.0 Mg/m³. Its space group is P-31m (162).

Cell and atoms, written as CIF:
```
data_Zr6Ga10Mo
_cell_length_a 8.1238
_cell_length_b 8.1238
_cell_length_c 5.5559
_cell_angle_alpha 90.00
_cell_angle_beta 90.00
_cell_angle_gamma 120.00
_space_group_name_H-M_alt 'P 1'
_space_group_IT_number 1
loop_
_space_group_symop_operation_xyz
'x,y,z'
loop_
_atom_site_label
_atom_site_type_symbol
_atom_site_fract_x
_atom_site_fract_y
_atom_site_fract_z
_atom_site_occupancy
Zr1 Zr 0.0000 0.3846 0.2757 1
Zr2 Zr 0.0000 0.6154 0.7243 1
Zr3 Zr 0.3846 0.0000 0.2757 1
Zr4 Zr 0.3846 0.3846 0.7243 1
Zr5 Zr 0.6154 0.0000 0.7243 1
Zr6 Zr 0.6154 0.6154 0.2757 1
Ga1 Ga 0.0000 0.2459 0.8021 1
Ga2 Ga 0.0000 0.7541 0.1979 1
Ga3 Ga 0.2459 0.0000 0.8021 1
Ga4 Ga 0.2459 0.2459 0.1979 1
Ga5 Ga 0.3333 0.6667 0.0000 1
Ga6 Ga 0.3333 0.6667 0.5000 1
Ga7 Ga 0.6667 0.3333 0.0000 1
Ga8 Ga 0.6667 0.3333 0.5000 1
Ga9 Ga 0.7541 0.0000 0.1979 1
Ga10 Ga 0.7541 0.7541 0.8021 1
Mo1 Mo 0.0000 0.0000 0.5000 1
```



# 4
Material: ZrGa3Mo
Method: DFT, PBE
State: relaxed

The calculation puts the density of states at the Fermi level at 0.63 states/eV/atom. The value obtained for the energy of formation from the pure elements is 1.1877 eV per atom. As for the energy: -4.50 eV/atom. The calculation puts the magnetization at 3.2 μB per formula unit. The offset from the most stable computed form comes out at 1283 meV/atom. The value obtained for the density is 5.0 Mg/m³. Its space group is Pm-3m (221).

Cell and atoms, written as CIF:
```
data_ZrGa3Mo
_cell_length_a 5.0792
_cell_length_b 5.0792
_cell_length_c 5.0792
_cell_angle_alpha 90.00
_cell_angle_beta 90.00
_cell_angle_gamma 90.00
_space_group_name_H-M_alt 'P 1'
_space_group_IT_number 1
loop_
_space_group_symop_operation_xyz
'x,y,z'
loop_
_atom_site_label
_atom_site_type_symbol
_atom_site_fract_x
_atom_site_fract_y
_atom_site_fract_z
_atom_site_occupancy
Zr1 Zr 0.0000 0.0000 0.0000 1
Ga1 Ga 0.0000 0.0000 0.5000 1
Ga2 Ga 0.0000 0.5000 0.0000 1
Ga3 Ga 0.5000 0.0000 0.0000 1
Mo1 Mo 0.5000 0.5000 0.5000 1
```



# 5
Material: ZrGaMo3
Method: DFT, PBE
State: relaxed

The calculation puts the density of states at the Fermi level at 1.43 states/eV/atom. The value obtained for the energy of formation from the pure elements is 1.1283 eV per atom. As for the energy: -7.69 eV/atom. The calculation puts the magnetization at 0.0 μB per formula unit. The offset from the most stable computed form comes out at 0 meV/atom. The value obtained for the density is 7.5 Mg/m³. Its space group is Pm-3m (221).

Cell and atoms, written as CIF:
```
data_ZrGaMo3
_cell_length_a 4.6286
_cell_length_b 4.6286
_cell_length_c 4.6286
_cell_angle_alpha 90.00
_cell_angle_beta 90.00
_cell_angle_gamma 90.00
_space_group_name_H-M_alt 'P 1'
_space_group_IT_number 1
loop_
_space_group_symop_operation_xyz
'x,y,z'
loop_
_atom_site_label
_atom_site_type_symbol
_atom_site_fract_x
_atom_site_fract_y
_atom_site_fract_z
_atom_site_occupancy
Zr1 Zr 0.0000 0.0000 0.0000 1
Ga1 Ga 0.5000 0.5000 0.5000 1
Mo1 Mo 0.0000 0.5000 0.5000 1
Mo2 Mo 0.5000 0.0000 0.5000 1
Mo3 Mo 0.5000 0.5000 0.0000 1
```



# 6
Material: ZrGa3Mo
Method: DFT, PBE
State: relaxed

The calculation puts the density of states at the Fermi level at 0.72 states/eV/atom. The value obtained for the energy of formation from the pure elements is 0.4190 eV per atom. As for the energy: -5.27 eV/atom. The calculation puts the magnetization at 0.0 μB per formula unit. The offset from the most stable computed form comes out at 514 meV/atom. The value obtained for the density is 6.1 Mg/m³. Its space group is Pm-3m (221).

Cell and atoms, written as CIF:
```
data_ZrGa3Mo
_cell_length_a 4.7576
_cell_length_b 4.7576
_cell_length_c 4.7576
_cell_angle_alpha 90.00
_cell_angle_beta 90.00
_cell_angle_gamma 90.00
_space_group_name_H-M_alt 'P 1'
_space_group_IT_number 1
loop_
_space_group_symop_operation_xyz
'x,y,z'
loop_
_atom_site_label
_atom_site_type_symbol
_atom_site_fract_x
_atom_site_fract_y
_atom_site_fract_z
_atom_site_occupancy
Zr1 Zr 0.0000 0.0000 0.0000 1
Ga1 Ga 0.0000 0.5000 0.5000 1
Ga2 Ga 0.5000 0.0000 0.5000 1
Ga3 Ga 0.5000 0.5000 0.0000 1
Mo1 Mo 0.5000 0.5000 0.5000 1
```



# 7
Material: Zr2Ga6Mo
Method: DFT, PBE
State: relaxed

The calculation puts the density of states at the Fermi level at 0.40 states/eV/atom. The value obtained for the energy of formation from the pure elements is -0.3306 eV per atom. As for the energy: -5.45 eV/atom. The calculation puts the magnetization at 0.0 μB per formula unit. The value obtained for the density is 7.2 Mg/m³. Its space group is C2/m (12).

Cell and atoms, written as CIF:
```
data_Zr2Ga6Mo
_cell_length_a 5.8386
_cell_length_b 5.8386
_cell_length_c 5.7682
_cell_angle_alpha 100.29
_cell_angle_beta 100.29
_cell_angle_gamma 56.16
_space_group_name_H-M_alt 'P 1'
_space_group_IT_number 1
loop_
_space_group_symop_operation_xyz
'x,y,z'
loop_
_atom_site_label
_atom_site_type_symbol
_atom_site_fract_x
_atom_site_fract_y
_atom_site_fract_z
_atom_site_occupancy
Zr1 Zr 0.1387 0.1387 0.3487 1
Zr2 Zr 0.8613 0.8613 0.6513 1
Ga1 Ga 0.1113 0.6408 0.1615 1
Ga2 Ga 0.3407 0.3407 0.7752 1
Ga3 Ga 0.3592 0.8887 0.8385 1
Ga4 Ga 0.6408 0.1113 0.1615 1
Ga5 Ga 0.6593 0.6593 0.2248 1
Ga6 Ga 0.8887 0.3592 0.8385 1
Mo1 Mo 0.5000 0.5000 0.5000 1
```



# 8
Material: GaN
Method: DFT, PBE
State: relaxed

The calculation puts the density of states at the Fermi level at 0.00 states/eV/atom. As for the energy: -6.11 eV/atom. The calculation puts the magnetization at 0.0 μB per formula unit. The calculation puts the energy relative to the elements, uncorrected at -0.87 eV/f.u. The value obtained for the density is 5.7 Mg/m³. Its space group is P4_2/mnm (136).

Cell and atoms, written as CIF:
```
data_GaN
_cell_length_a 5.5293
_cell_length_b 5.5293
_cell_length_c 3.2118
_cell_angle_alpha 90.00
_cell_angle_beta 90.00
_cell_angle_gamma 90.00
_space_group_name_H-M_alt 'P 1'
_space_group_IT_number 1
loop_
_space_group_symop_operation_xyz
'x,y,z'
loop_
_atom_site_label
_atom_site_type_symbol
_atom_site_fract_x
_atom_site_fract_y
_atom_site_fract_z
_atom_site_occupancy
Ga1 Ga 0.1795 0.1795 0.0000 1
Ga2 Ga 0.3205 0.6795 0.5000 1
Ga3 Ga 0.6795 0.3205 0.5000 1
Ga4 Ga 0.8205 0.8205 0.0000 1
N1 N 0.1823 0.8177 0.0000 1
N2 N 0.3177 0.3177 0.5000 1
N3 N 0.6823 0.6823 0.5000 1
N4 N 0.8177 0.1823 0.0000 1
```



# 9
Material: GaN
Method: DFT, PBE
State: relaxed

As for the energy: -6.02 eV/atom. The calculation puts the magnetization at 0.0 μB per formula unit. The calculation puts the energy relative to the elements, uncorrected at -0.70 eV/f.u. The value obtained for the density is 4.8 Mg/m³. Its space group is Pm-3n (223).

Cell and atoms, written as CIF:
```
data_GaN
_cell_length_a 5.5675
_cell_length_b 5.5675
_cell_length_c 5.5675
_cell_angle_alpha 90.00
_cell_angle_beta 90.00
_cell_angle_gamma 90.00
_space_group_name_H-M_alt 'P 1'
_space_group_IT_number 1
loop_
_space_group_symop_operation_xyz
'x,y,z'
loop_
_atom_site_label
_atom_site_type_symbol
_atom_site_fract_x
_atom_site_fract_y
_atom_site_fract_z
_atom_site_occupancy
Ga1 Ga 0.0000 0.2500 0.5000 1
Ga2 Ga 0.0000 0.7500 0.5000 1
Ga3 Ga 0.2500 0.5000 0.0000 1
Ga4 Ga 0.5000 0.0000 0.2500 1
Ga5 Ga 0.5000 0.0000 0.7500 1
Ga6 Ga 0.7500 0.5000 0.0000 1
N1 N 0.0000 0.5000 0.2500 1
N2 N 0.0000 0.5000 0.7500 1
N3 N 0.2500 0.0000 0.5000 1
N4 N 0.5000 0.2500 0.0000 1
N5 N 0.5000 0.7500 0.0000 1
N6 N 0.7500 0.0000 0.5000 1
```



# 10
Material: GaN
Method: DFT, PBE
State: relaxed

The calculation puts the density of states at the Fermi level at 0.00 states/eV/atom. As for the energy: -6.16 eV/atom. The calculation puts the magnetization at 0.0 μB per formula unit. The calculation puts the energy relative to the elements, uncorrected at -0.96 eV/f.u. The value obtained for the density is 5.9 Mg/m³. Its space group is P6_3mc (186).

Cell and atoms, written as CIF:
```
data_GaN
_cell_length_a 3.2157
_cell_length_b 3.2157
_cell_length_c 5.2387
_cell_angle_alpha 90.00
_cell_angle_beta 90.00
_cell_angle_gamma 120.00
_space_group_name_H-M_alt 'P 1'
_space_group_IT_number 1
loop_
_space_group_symop_operation_xyz
'x,y,z'
loop_
_atom_site_label
_atom_site_type_symbol
_atom_site_fract_x
_atom_site_fract_y
_atom_site_fract_z
_atom_site_occupancy
Ga1 Ga 0.3333 0.6667 0.0000 1
Ga2 Ga 0.6667 0.3333 0.5000 1
N1 N 0.3333 0.6667 0.3767 1
N2 N 0.6667 0.3333 0.8767 1
```



# 11
Material: GaN
Method: DFT, PBE
State: relaxed

The calculation puts the density of states at the Fermi level at 0.04 states/eV/atom. As for the energy: -5.68 eV/atom. The calculation puts the magnetization at 0.0 μB per formula unit. The calculation puts the energy relative to the elements, uncorrected at 0.00 eV/f.u. The value obtained for the density is 7.1 Mg/m³. Its space group is Fm-3m (225).

Cell and atoms, written as CIF:
```
data_GaN
_cell_length_a 4.2692
_cell_length_b 4.2692
_cell_length_c 4.2692
_cell_angle_alpha 90.00
_cell_angle_beta 90.00
_cell_angle_gamma 90.00
_space_group_name_H-M_alt 'P 1'
_space_group_IT_number 1
loop_
_space_group_symop_operation_xyz
'x,y,z'
loop_
_atom_site_label
_atom_site_type_symbol
_atom_site_fract_x
_atom_site_fract_y
_atom_site_fract_z
_atom_site_occupancy
Ga1 Ga 0.0000 0.0000 0.0000 1
Ga2 Ga 0.0000 0.5000 0.5000 1
Ga3 Ga 0.5000 0.0000 0.5000 1
Ga4 Ga 0.5000 0.5000 0.0000 1
N1 N 0.0000 0.0000 0.5000 1
N2 N 0.0000 0.5000 0.0000 1
N3 N 0.5000 0.0000 0.0000 1
N4 N 0.5000 0.5000 0.5000 1
```



# 12
Material: GaN
Method: DFT, PBE
State: relaxed

The calculation puts the density of states at the Fermi level at 0.00 states/eV/atom. As for the energy: -5.98 eV/atom. The calculation puts the magnetization at 0.0 μB per formula unit. The calculation puts the energy relative to the elements, uncorrected at -0.61 eV/f.u. The value obtained for the density is 5.0 Mg/m³. Its space group is I4/m (87).

Cell and atoms, written as CIF:
```
data_GaN
_cell_length_a 8.2217
_cell_length_b 8.2217
_cell_length_c 3.2938
_cell_angle_alpha 90.00
_cell_angle_beta 90.00
_cell_angle_gamma 90.00
_space_group_name_H-M_alt 'P 1'
_space_group_IT_number 1
loop_
_space_group_symop_operation_xyz
'x,y,z'
loop_
_atom_site_label
_atom_site_type_symbol
_atom_site_fract_x
_atom_site_fract_y
_atom_site_fract_z
_atom_site_occupancy
Ga1 Ga 0.1179 0.2912 0.0000 1
Ga2 Ga 0.2088 0.6179 0.5000 1
Ga3 Ga 0.2912 0.8821 0.0000 1
Ga4 Ga 0.3821 0.2088 0.5000 1
Ga5 Ga 0.6179 0.7912 0.5000 1
Ga6 Ga 0.7088 0.1179 0.0000 1
Ga7 Ga 0.7912 0.3821 0.5000 1
Ga8 Ga 0.8821 0.7088 0.0000 1
N1 N 0.1134 0.7141 0.0000 1
N2 N 0.2141 0.3866 0.5000 1
N3 N 0.2859 0.1134 0.0000 1
N4 N 0.3866 0.7859 0.5000 1
N5 N 0.6134 0.2141 0.5000 1
N6 N 0.7141 0.8866 0.0000 1
N7 N 0.7859 0.6134 0.5000 1
N8 N 0.8866 0.2859 0.0000 1
```